LiAgSn2Te4 (GGA-PBE, relaxed); total energy = -3.502 eV/atom; crystal system = monoclinic; V = 223.5 Å³/cell
1.0
7.399 0.000 0.000
0.000 4.301 0.000
-2.440 0.000 7.023
Li Ag Sn Te
1 1 2 4
direct
0.000 0.000 0.000
0.000 0.500 0.500
0.500 0.000 0.500
0.500 0.500 0.000
0.236 0.500 0.245
0.237 0.000 0.748
0.763 0.000 0.252
0.764 0.500 0.755